No. 1
A plane-wave DFT calculation with PBE-GGA was carried out for a relaxed structure of Tc2Ni2Pd.

Output
The formation enthalpy at 0 K is 0.18 eV/atom. Its volume is 13.49 A^3/atom. The value obtained for the density of states at the Fermi level is 1.57 states/eV/atom. The calculation puts the magnetization at 0.00 Bohr magnetons per cell.

Unit cell a=7.1155 b=7.1155 c=2.6649 alpha=90.00 beta=90.00 gamma=90.00
Closest atoms and distances in Å follow each position.
Space group P4/mbm (No. 127)
Asymmetric unit:
Tc 0.1759 0.3241 0.0000 [4 per cell]  6 Ni 2.46-2.52, 2 Tc 2.66
Ni 0.1188 0.6188 0.5000 [4 per cell]  3 Ni 2.39-2.66, 6 Tc 2.46-2.52
Pd 0.0000 0.0000 0.5000 [2 per cell]  2 Pd 2.66, 4 Ni 2.84, 8 Tc 2.94

No. 2
A plane-wave DFT calculation with PBE-GGA was carried out for a relaxed structure of TcNi2Pd2.

Output
The formation enthalpy at 0 K is 0.57 eV/atom. Its volume is 15.02 A^3/atom. The value obtained for the energy above the lowest structure with this stoichiometry is 0.282 eV per atom. The value obtained for the density of states at the Fermi level is 1.59 states/eV/atom. The calculation puts the magnetization at 8.88 Bohr magnetons per cell.

Unit cell a=3.6297 b=3.6297 c=11.3983 alpha=90.00 beta=90.00 gamma=90.00
Closest atoms and distances in Å follow each position.
Space group I4/mmm (No. 139)
Asymmetric unit:
Tc 0.0000 0.0000 0.0000 [2 per cell]  8 Ni 2.79
Ni 0.0000 0.0000 0.4050 [4 per cell]  1 Ni 2.17
Pd 0.0000 0.5000 0.2500 [4 per cell]  4 Ni 2.53, 4 Pd 2.57

No. 3
A plane-wave DFT calculation with PBE-GGA was carried out for a relaxed structure of TcNiPd2.

Output
The formation enthalpy at 0 K is 0.31 eV/atom. Its volume is 14.30 A^3/atom. The value obtained for the energy above the lowest structure with this stoichiometry is 0.327 eV per atom. The value obtained for the density of states at the Fermi level is 1.75 states/eV/atom. The calculation puts the magnetization at 0.00 Bohr magnetons per cell.

Unit cell a=6.1159 b=6.1159 c=6.1159 alpha=90.00 beta=90.00 gamma=90.00
Closest atoms and distances in Å follow each position.
Space group Fm-3m (No. 225)
Asymmetric unit:
Tc 0.0000 0.0000 0.0000 [4 per cell]  8 Pd 2.65
Ni 0.0000 0.0000 0.5000 [4 per cell]  8 Pd 2.65
Pd 0.2500 0.2500 0.2500 [8 per cell]  4 Tc 2.65, 4 Ni 2.65

No. 4
A plane-wave DFT calculation with PBE-GGA was carried out for a relaxed structure of TcNiPd.

Output
The formation enthalpy at 0 K is 0.31 eV/atom. Its volume is 14.57 A^3/atom. The value obtained for the energy above the lowest structure with this stoichiometry is 0.292 eV per atom. The value obtained for the density of states at the Fermi level is 1.27 states/eV/atom. The calculation puts the magnetization at 0.00 Bohr magnetons per cell.

Unit cell a=2.6497 b=14.8146 c=4.4545 alpha=90.00 beta=90.00 gamma=90.00
Closest atoms and distances in Å follow each position.
Space group Cmcm (No. 63)
Asymmetric unit:
Tc 0.0000 0.0364 0.2500 [4 per cell]  4 Tc 2.47-2.65, 2 Ni 2.49, 1 Pd 2.77
Ni 0.0000 0.3213 0.7500 [4 per cell]  2 Tc 2.49, 5 Pd 2.53-2.63, 2 Ni 2.65
Pd 0.0000 0.1504 0.7500 [4 per cell]  5 Ni 2.53-2.63, 2 Pd 2.65, 3 Tc 2.77-2.80

No. 5
A plane-wave DFT calculation with PBE-GGA was carried out for a relaxed structure of TcNiPd2.

Output
The formation enthalpy at 0 K is 0.64 eV/atom. Its volume is 15.50 A^3/atom. The value obtained for the energy above the lowest structure with this stoichiometry is 0.654 eV per atom. The value obtained for the density of states at the Fermi level is 1.36 states/eV/atom. The calculation puts the magnetization at 9.43 Bohr magnetons per cell.

Unit cell a=6.8726 b=6.8726 c=5.2517 alpha=90.00 beta=90.00 gamma=90.00
Closest atoms and distances in Å follow each position.
Space group I-42d (No. 122)
Asymmetric unit:
Tc 0.0000 0.0000 0.0000 [4 per cell]  4 Pd 2.57, 2 Ni 2.63
Ni 0.0000 0.0000 0.5000 [4 per cell]  4 Pd 2.46, 2 Tc 2.63
Pd 0.2379 0.2500 0.6250 [8 per cell]  2 Ni 2.46, 2 Tc 2.57, 2 Pd 2.63

No. 6
A plane-wave DFT calculation with PBE-GGA was carried out for a relaxed structure of TcNiPd.

Output
The formation enthalpy at 0 K is 0.09 eV/atom. Its volume is 13.74 A^3/atom. The value obtained for the energy above the lowest structure with this stoichiometry is 0.071 eV per atom. The value obtained for the density of states at the Fermi level is 1.52 states/eV/atom. The calculation puts the magnetization at 0.00 Bohr magnetons per cell.

Unit cell a=2.7078 b=2.7078 c=6.4908 alpha=90.00 beta=90.00 gamma=120.00
Closest atoms and distances in Å follow each position.
Space group P3m1 (No. 156)
Asymmetric unit:
Tc 0.0000 0.0000 0.0000 [1 per cell]  3 Ni 2.54, 6 Tc 2.71, 3 Pd 2.78
Ni 0.3333 0.6667 0.6917 [1 per cell]  3 Tc 2.54, 3 Pd 2.69, 6 Ni 2.71
Pd 0.6667 0.3333 0.3547 [1 per cell]  3 Ni 2.69, 6 Pd 2.71, 3 Tc 2.78

No. 7
A plane-wave DFT calculation with PBE-GGA was carried out for a relaxed structure of Ni2TePd2.

Output
Its uncorrected formation energy is 0.7 eV/f.u. Its volume is 16.29 A^3/atom. The value obtained for the energy above the lowest structure with this stoichiometry is 0.116 eV per atom. The value obtained for the density of states at the Fermi level is 1.01 states/eV/atom. The calculation puts the magnetization at 0.25 Bohr magnetons per cell.

Unit cell a=3.4418 b=3.4418 c=13.7516 alpha=90.00 beta=90.00 gamma=90.00
Closest atoms and distances in Å follow each position.
Space group I4/mmm (No. 139)
Asymmetric unit:
Ni 0.0000 0.5000 0.2500 [4 per cell]  4 Ni 2.43, 4 Pd 2.59
Te 0.0000 0.0000 0.0000 [2 per cell]  8 Pd 2.86
Pd 0.0000 0.0000 0.3911 [4 per cell]  4 Ni 2.59, 4 Te 2.86

No. 8
A plane-wave DFT calculation with PBE-GGA was carried out for a relaxed structure of Ni3Te8Pd.

Output
Its uncorrected formation energy is -2.5 eV/f.u. Its volume is 26.21 A^3/atom. The value obtained for the density of states at the Fermi level is 0.56 states/eV/atom. The calculation puts the magnetization at 0.00 Bohr magnetons per cell.

Unit cell a=13.4882 b=7.9468 c=6.6928 alpha=90.00 beta=118.72 gamma=90.00
Closest atoms and distances in Å follow each position.
Space group C2/m (No. 12)
Asymmetric unit:
Ni 0.0000 0.0000 0.0000 [2 per cell]  6 Te 2.59-2.60
Ni 0.2500 0.2500 0.0000 [4 per cell]  6 Te 2.57-2.63
Te 0.0332 0.2407 0.7755 [8 per cell]  2 Ni 2.57-2.60, 1 Pd 2.71
Te 0.2191 0.0000 0.2213 [4 per cell]  3 Ni 2.59-2.63
Te 0.2274 0.5000 0.2272 [4 per cell]  2 Ni 2.61, 1 Pd 2.69
Pd 0.0000 0.5000 0.0000 [2 per cell]  6 Te 2.69-2.71

No. 9
A plane-wave DFT calculation with PBE-GGA was carried out for a relaxed structure of Ni5Te12Pd.

Output
Its uncorrected formation energy is -4.0 eV/f.u. Its volume is 24.18 A^3/atom. The value obtained for the density of states at the Fermi level is 0.52 states/eV/atom. The calculation puts the magnetization at 0.00 Bohr magnetons per cell.

Unit cell a=6.7544 b=11.7111 c=11.2394 alpha=90.00 beta=101.73 gamma=90.00
Closest atoms and distances in Å follow each position.
Space group C2/m (No. 12)
Asymmetric unit:
Ni 0.0000 0.0000 0.0000 [2 per cell]  6 Te 2.59-2.61
Ni 0.0000 0.1667 0.5000 [4 per cell]  6 Te 2.58
Ni 0.0000 0.3329 0.0000 [4 per cell]  6 Te 2.60-2.61
Te 0.1102 0.0000 0.3783 [4 per cell]  2 Ni 2.58, 1 Pd 2.71
Te 0.1322 0.3256 0.3779 [8 per cell]  2 Ni 2.58, 1 Pd 2.71
Te 0.2063 0.5000 0.1169 [4 per cell]  3 Ni 2.59-2.60
Te 0.2065 0.1668 0.1194 [8 per cell]  3 Ni 2.60-2.61
Pd 0.0000 0.5000 0.5000 [2 per cell]  6 Te 2.71

No. 10
A plane-wave DFT calculation with PBE-GGA was carried out for a relaxed structure of NiTe2Pd.

Output
Its uncorrected formation energy is -0.8 eV/f.u. Its volume is 22.16 A^3/atom. The value obtained for the density of states at the Fermi level is 0.60 states/eV/atom. The calculation puts the magnetization at 0.00 Bohr magnetons per cell.

Unit cell a=4.2499 b=6.4961 c=6.6110 alpha=87.94 beta=89.50 gamma=76.42
Closest atoms and distances in Å follow each position.
Space group P1 (No. 1)
Asymmetric unit:
Ni 0.0000 0.0000 0.0000 [1 per cell]  1 Ni 2.38, 2 Te 2.46-2.59
Ni 0.4018 0.1600 0.8547 [1 per cell]  1 Ni 2.38, 2 Te 2.46-2.60
Te 0.1484 0.2795 0.2287 [1 per cell]  2 Ni 2.59-2.75, 3 Pd 2.72-2.84
Te 0.2514 0.8797 0.6277 [1 per cell]  2 Ni 2.60-2.74, 3 Pd 2.72-2.84
Te 0.5973 0.8061 0.1194 [1 per cell]  2 Ni 2.46-2.67
Te 0.8042 0.3546 0.7365 [1 per cell]  2 Ni 2.46-2.67
Pd 0.2005 0.5798 0.9286 [1 per cell]  2 Ni 2.72, 6 Te 2.78-2.94
Pd 0.6998 0.0798 0.4285 [1 per cell]  6 Te 2.72-2.86

No. 11
A plane-wave DFT calculation with PBE-GGA was carried out for a relaxed structure of NiTe3Pd.

Output
Its uncorrected formation energy is -1.3 eV/f.u. Its volume is 22.93 A^3/atom. The value obtained for the energy above the lowest structure with this stoichiometry is 0.000 eV per atom. The value obtained for the density of states at the Fermi level is 0.50 states/eV/atom. The calculation puts the magnetization at 0.00 Bohr magnetons per cell.

Unit cell a=3.9988 b=20.7361 c=5.5312 alpha=90.00 beta=90.00 gamma=90.00
Closest atoms and distances in Å follow each position.
Space group Cmc2_1 (No. 36)
Asymmetric unit:
Ni 0.0000 0.1747 0.0000 [4 per cell]  6 Te 2.62-2.65
Te 0.0000 0.0588 0.1968 [4 per cell]  1 Ni 2.64, 4 Pd 2.73-2.78
Te 0.0000 0.2867 0.7793 [4 per cell]  3 Ni 2.62-2.65
Te 0.0000 0.3691 0.2349 [4 per cell]  2 Ni 2.64, 1 Pd 2.71
Pd 0.0000 0.4831 0.9945 [4 per cell]  5 Te 2.71-2.78, 2 Pd 2.85

No. 12
A plane-wave DFT calculation with PBE-GGA was carried out for a relaxed structure of NiTe2Pd.

Output
Its uncorrected formation energy is -0.8 eV/f.u. Its volume is 22.53 A^3/atom. The value obtained for the density of states at the Fermi level is 0.77 states/eV/atom. The calculation puts the magnetization at 0.00 Bohr magnetons per cell.

Unit cell a=5.4880 b=11.8170 c=5.5574 alpha=90.00 beta=90.00 gamma=90.00
Closest atoms and distances in Å follow each position.
Space group Ibam (No. 72)
Asymmetric unit:
Ni 0.0000 0.0000 0.2500 [4 per cell]  4 Te 2.54, 2 Pd 2.74, 2 Ni 2.78
Te 0.2205 0.1476 0.0000 [8 per cell]  2 Ni 2.54, 2 Pd 2.71
Pd 0.0000 0.5000 0.2500 [4 per cell]  4 Te 2.71, 2 Ni 2.74, 2 Pd 2.78